# 1
{
  "formula": "Hf4PPb",
  "functional": "PBE-GGA",
  "state": "relaxed",
  "space_group": "C2/c",
  "dft_energy_ry_per_atom": -0.6198,
  "formation_energy_ev_per_atom": -0.2776,
  "cell": [[5.834, -0.886, 0.000], [-1.814, 6.839, 0.000], [-2.010, -2.977, 7.004]],
  "species": ["Hf", "Hf", "Hf", "Hf", "Hf", "Hf", "Hf", "Hf", "Pb", "Pb", "P", "P"],
  "fractional_positions": [[0.035, 0.831, 0.135], [0.691, 0.137, 0.437], [0.400, 0.696, 0.865], [0.600, 0.304, 0.135], [0.309, 0.863, 0.563], [0.754, 0.700, 0.563], [0.965, 0.169, 0.865], [0.246, 0.300, 0.437], [0.646, 0.396, 0.792], [0.354, 0.604, 0.208], [0.815, 0.065, 0.130], [0.185, 0.935, 0.870]]
}

=====

# 2
{
  "formula": "Zr2ScHPd",
  "functional": "PBE-GGA",
  "state": "relaxed",
  "space_group": "P4/mmm",
  "dft_energy_ry_per_atom": -0.4944,
  "cell": [[4.287, 0.000, 0.000], [0.000, 4.287, 0.000], [0.000, 0.000, 4.585]],
  "species": ["Pd", "Zr", "Zr", "H", "Sc"],
  "fractional_positions": [[0.500, 0.500, 0.500], [0.500, 0.000, 0.000], [0.000, 0.500, 0.000], [0.000, 0.000, 0.000], [0.000, 0.000, 0.500]]
}

=====

# 3
{
  "formula": "Cd11Hg",
  "functional": "PBE-GGA",
  "state": "relaxed",
  "space_group": "I4_1/amd",
  "dft_energy_ry_per_atom": -0.0604,
  "formation_energy_ev_per_atom": 0.0415,
  "cell": [[-7.801, -0.373, -0.624], [-3.101, -3.773, -8.153], [-3.813, -8.057, 3.297]],
  "species": ["Cd", "Cd", "Cd", "Cd", "Cd", "Cd", "Cd", "Cd", "Cd", "Cd", "Cd", "Cd", "Cd", "Cd", "Cd", "Cd", "Cd", "Cd", "Cd", "Cd", "Cd", "Cd", "Hg", "Hg"],
  "fractional_positions": [[0.999, 0.918, 0.678], [0.667, 0.582, 0.178], [0.999, 0.678, 0.918], [0.595, 0.322, 0.082], [0.750, 0.500, 0.500], [0.427, 0.822, 0.418], [0.000, 0.000, 0.000], [0.323, 0.082, 0.678], [0.155, 0.178, 0.418], [0.667, 0.178, 0.582], [0.375, 0.750, 0.750], [0.083, 0.322, 0.918], [0.323, 0.678, 0.082], [0.875, 0.250, 0.250], [0.595, 0.082, 0.322], [0.751, 0.822, 0.582], [0.427, 0.418, 0.822], [0.155, 0.418, 0.178], [0.875, 0.250, 0.750], [0.083, 0.918, 0.322], [0.751, 0.582, 0.822], [0.875, 0.750, 0.250], [0.500, 0.000, 0.000], [0.250, 0.500, 0.500]]
}

=====

# 4
{
  "formula": "Tb5Pr2Ho2",
  "functional": "PBE-GGA",
  "state": "relaxed",
  "space_group": "C2/m",
  "dft_energy_ry_per_atom": -0.3256,
  "formation_energy_ev_per_atom": 0.2221,
  "polymorph_energy_mev_per_atom": 11,
  "cell": [[3.429, 0.000, -0.707], [-0.486, 7.888, -2.354], [0.739, -2.967, 12.250]],
  "species": ["Tb", "Tb", "Tb", "Tb", "Tb", "Pr", "Pr", "Ho", "Ho"],
  "fractional_positions": [[0.905, 0.544, 0.811], [0.095, 0.456, 0.189], [0.000, 0.000, 0.000], [0.690, 0.848, 0.381], [0.310, 0.152, 0.619], [0.180, 0.215, 0.361], [0.820, 0.785, 0.639], [0.547, 0.738, 0.094], [0.453, 0.262, 0.906]]
}

=====

# 5
{
  "formula": "Ca2ScGe4Pt3",
  "functional": "PBE-GGA",
  "state": "relaxed",
  "space_group": "P-4m2",
  "dft_energy_ry_per_atom": -0.4040,
  "formation_energy_ev_per_atom": -0.8037,
  "cell": [[-2.276, -3.501, 0.706], [1.184, -1.529, -3.767], [8.876, -4.814, 4.744]],
  "species": ["Pt", "Pt", "Pt", "Ge", "Ge", "Ge", "Ge", "Ca", "Ca", "Sc"],
  "fractional_positions": [[0.000, 0.000, 0.500], [0.500, 0.000, 0.875], [0.000, 0.500, 0.125], [0.500, 0.000, 0.651], [0.000, 0.000, 0.000], [0.500, 0.500, 0.000], [0.000, 0.500, 0.349], [0.000, 0.500, 0.754], [0.500, 0.000, 0.246], [0.500, 0.500, 0.500]]
}

=====

# 6
{
  "formula": "CsZnSe2",
  "functional": "PBE-GGA",
  "state": "relaxed",
  "space_group": "R-3m",
  "dft_energy_ry_per_atom": -0.2036,
  "cell": [[-2.123, 4.715, -1.981], [-3.759, -1.465, -3.793], [-4.949, 0.604, 2.407]],
  "species": ["Se", "Se", "Cs", "Zn"],
  "fractional_positions": [[0.189, 0.189, 0.189], [0.811, 0.811, 0.811], [0.500, 0.500, 0.500], [0.000, 0.000, 0.000]]
}

=====

# 7
{
  "formula": "Na3PAu",
  "functional": "PBE-GGA",
  "state": "relaxed",
  "space_group": "P2_1/c",
  "dft_energy_ry_per_atom": -0.2102,
  "formation_energy_ev_per_atom": -0.3310,
  "polymorph_energy_mev_per_atom": 0,
  "cell": [[8.666, 0.000, 0.000], [0.000, 5.995, -1.066], [0.000, 0.232, 9.884]],
  "species": ["Na", "Na", "Na", "Na", "Na", "Na", "Na", "Na", "Na", "Na", "Na", "Na", "P", "P", "P", "P", "Au", "Au", "Au", "Au"],
  "fractional_positions": [[0.706, 0.307, 0.078], [0.010, 0.732, 0.695], [0.490, 0.732, 0.195], [0.429, 0.294, 0.372], [0.071, 0.294, 0.872], [0.510, 0.268, 0.805], [0.206, 0.693, 0.422], [0.990, 0.268, 0.305], [0.571, 0.706, 0.628], [0.794, 0.307, 0.578], [0.294, 0.693, 0.922], [0.929, 0.706, 0.128], [0.786, 0.560, 0.856], [0.714, 0.560, 0.356], [0.214, 0.440, 0.144], [0.286, 0.440, 0.644], [0.612, 0.851, 0.942], [0.112, 0.149, 0.558], [0.388, 0.149, 0.058], [0.888, 0.851, 0.442]]
}

=====

# 8
{
  "formula": "RbGa3I",
  "functional": "PBE-GGA",
  "state": "relaxed",
  "space_group": "Pm-3m",
  "dft_energy_ry_per_atom": -0.1480,
  "polymorph_energy_mev_per_atom": 0,
  "cell": [[6.070, 0.000, 0.000], [0.000, 6.070, 0.000], [0.000, 0.000, 6.070]],
  "species": ["Ga", "Ga", "Ga", "I", "Rb"],
  "fractional_positions": [[0.000, 0.500, 0.000], [0.500, 0.000, 0.000], [0.000, 0.000, 0.500], [0.000, 0.000, 0.000], [0.500, 0.500, 0.500]]
}

=====

# 9
{
  "formula": "BeNbSeBr2",
  "functional": "PBE-GGA",
  "state": "relaxed",
  "space_group": "P4/mmm",
  "dft_energy_ry_per_atom": -0.2801,
  "polymorph_energy_mev_per_atom": 39,
  "cell": [[4.623, 0.000, 0.000], [0.000, 4.623, 0.000], [0.000, 0.000, 4.944]],
  "species": ["Se", "Be", "Br", "Br", "Nb"],
  "fractional_positions": [[0.000, 0.000, 0.500], [0.000, 0.000, 0.000], [0.000, 0.500, 0.000], [0.500, 0.000, 0.000], [0.500, 0.500, 0.500]]
}

=====

# 10
{
  "formula": "Y2TcBr",
  "functional": "PBE-GGA",
  "state": "relaxed",
  "space_group": "Imm2",
  "dft_energy_ry_per_atom": -0.4873,
  "polymorph_energy_mev_per_atom": 203,
  "cell": [[8.332, 0.001, 0.003], [6.765, 4.865, -0.003], [-7.585, -2.321, 2.552]],
  "species": ["Br", "Y", "Y", "Tc"],
  "fractional_positions": [[0.448, 0.448, 0.000], [0.074, 0.074, 0.000], [0.780, 0.280, 0.500], [0.198, 0.698, 0.500]]
}

=====

# 11
{
  "formula": "Hg2Bi2Pb5",
  "functional": "PBE-GGA",
  "state": "relaxed",
  "space_group": "Ima2",
  "dft_energy_ry_per_atom": -0.2147,
  "formation_energy_ev_per_atom": 0.0682,
  "polymorph_energy_mev_per_atom": 47,
  "cell": [[8.464, 0.000, 0.000], [0.000, 10.317, 0.000], [-4.232, -5.159, 6.666]],
  "species": ["Pb", "Pb", "Pb", "Pb", "Pb", "Pb", "Pb", "Pb", "Pb", "Pb", "Hg", "Hg", "Hg", "Hg", "Bi", "Bi", "Bi", "Bi"],
  "fractional_positions": [[0.524, 0.435, 0.256], [0.768, 0.678, 0.744], [0.878, 0.356, 0.177], [0.232, 0.935, 0.256], [0.020, 0.260, 0.500], [0.122, 0.179, 0.823], [0.980, 0.760, 0.500], [0.476, 0.178, 0.744], [0.799, 0.856, 0.177], [0.201, 0.679, 0.823], [0.000, 0.050, 0.000], [0.640, 0.900, 0.500], [0.500, 0.550, 0.000], [0.360, 0.400, 0.500], [0.454, 0.878, 0.777], [0.546, 0.100, 0.223], [0.177, 0.600, 0.223], [0.823, 0.378, 0.777]]
}

=====

# 12
{
  "formula": "MgCuW2",
  "functional": "PBE-GGA",
  "state": "relaxed",
  "space_group": "P4/mmm",
  "dft_energy_ry_per_atom": -0.5229,
  "formation_energy_ev_per_atom": 0.7842,
  "cell": [[4.788, 0.000, 0.000], [0.000, 4.788, 0.000], [0.000, 0.000, 2.685]],
  "species": ["Cu", "W", "W", "Mg"],
  "fractional_positions": [[0.500, 0.000, 0.500], [0.500, 0.500, 0.000], [0.000, 0.000, 0.000], [0.000, 0.500, 0.500]]
}